# 1
Below is crystalline Ac8PRu3I3 at its relaxed geometry, with properties calculated at the PBE level.

As for the calculated total energy: -5.420 eV per atom. The density of states at the Fermi level comes out at 11.57 states/eV/f.u. The volume is 38.13 Å³ per atom. The calculation puts the total magnetization at 0.79 μB/cell. The value obtained for the formation energy without anion corrections is -10.54 eV/f.u.

It has space group C2/m (No. 12), with a = 15.323 Å, b = 8.851 Å, c = 9.857 Å, α = 90.00°, β = 121.16° and γ = 90.00°. The distinct sites, in fractional coordinates, are Ac at (0.026, 0.240, 0.317), Ac at (0.231, 0.000, 0.694), Ac at (0.234, 0.500, 0.683), P at (0.000, 0.500, 0.500), Ru at (0.000, 0.000, 0.500), Ru at (0.250, 0.250, 0.500), I at (0.000, 0.500, 0.000) and I at (0.250, 0.250, 0.000).

=====

# 2
Below is crystalline CoCu2Br at its relaxed geometry, with properties calculated at the PBE level.

As for the calculated total energy: -3.540 eV per atom. The density of states at the Fermi level comes out at 8.08 states/eV/f.u. The volume is 15.51 Å³ per atom. The calculation puts the total magnetization at 4.03 μB/cell. The value obtained for the formation energy without anion corrections is 2.81 eV/f.u. The calculation puts the energy above the lowest structure with this stoichiometry at 0.3583 eV/atom.

It has space group I-42d (No. 122), with a = 7.095 Å, b = 7.095 Å, c = 4.929 Å, α = 90.00°, β = 90.00° and γ = 90.00°. The distinct sites, in fractional coordinates, are Co at (0.000, 0.000, 0.000), Cu at (0.235, 0.250, 0.125) and Br at (0.000, 0.000, 0.500).

=====

# 3
Below is crystalline TlFeTe2 at its relaxed geometry, with properties calculated at the PBE level.

As for the calculated total energy: -4.246 eV per atom. The density of states at the Fermi level comes out at 6.18 states/eV/f.u. The volume is 30.84 Å³ per atom. The calculation puts the total magnetization at 12.27 μB/cell. The value obtained for the formation energy without anion corrections is 0.13 eV/f.u.

It has space group I-42d (No. 122), with a = 7.848 Å, b = 7.848 Å, c = 8.011 Å, α = 90.00°, β = 90.00° and γ = 90.00°. The distinct sites, in fractional coordinates, are Tl at (0.000, 0.000, 0.000), Fe at (0.000, 0.000, 0.500) and Te at (0.164, 0.250, 0.625).

=====

# 4
Below is crystalline ScBPt2 at its relaxed geometry, with properties calculated at the PBE level.

As for the calculated total energy: -6.418 eV per atom. The density of states at the Fermi level comes out at 1.88 states/eV/f.u. The volume is 16.44 Å³ per atom. The calculation puts the total magnetization at 0.00 μB/cell. The energy relative to the elements is -0.146 eV/atom.

It has space group R-3m (No. 166, hexagonal axes), with a = 3.1153 Å, b = 3.1153 Å, c = 23.4655 Å, α = 90.00°, β = 90.00° and γ = 120.00°. The distinct sites, in fractional coordinates, are Sc at (0.0000, 0.0000, 0.0000), B at (0.0000, 0.0000, 0.5000) and Pt at (0.0000, 0.0000, 0.1145).